The following is a DFT calculation (GGA+U) of a relaxed structure of EuCoO2.

```
EuCoO2
1.0
1.7274 0.9973 4.9059
-1.7274 0.9973 4.9059
0.0000 -1.9946 4.9059
Eu Co O
1 1 2
Direct
0.0000 0.0000 0.0000 Eu
0.5000 0.5000 0.5000 Co
0.2424 0.2424 0.2424 O
0.7576 0.7576 0.7576 O
```

Calculated values
Total magnetization = 4.000 μB per formula unit
Crystal system = trigonal
Electronic total energy = -8.071 eV/atom